DFT (GGA-PBE) results for Ac3P after structural relaxation.

- ΔH_f (0 K) (eV/f.u.) = -2.48
- VASP energy (eV per formula unit) = -20.2
- energy above the most stable polymorph in this dataset (meV/atom) = 0

Unit cell a=4.3290 b=4.3290 c=9.1956 alpha=103.61 beta=103.61 gamma=90.00
With the nearest neighbours (Å) after each atom.
Element x y z (fractional)
Ac 0.5000 0.5000 0.0000  4 P 3.06
Ac 0.1732 0.1732 0.3464  1 P 3.00
Ac 0.8268 0.8268 0.6536  1 P 3.00
P 0.0000 0.0000 0.0000  6 Ac 3.00-3.06